Entry from the Alexandria database: a geometry-optimized Ca2TlRh structure (PBE).

a = 5.1566 Å, b = 5.1566 Å, c = 5.1566 Å
α = 60.00°, β = 60.00°, γ = 60.00°
Sites, in units of the cell vectors:
Tl  0.5000  0.5000  0.5000
Rh  0.0000  0.0000  0.0000
Ca  0.2500  0.2500  0.2500
Ca  0.7500  0.7500  0.7500

Values from the calculation:
- formation enthalpy at 0 K (eV per atom) = -0.2885
- energy relative to the lowest polymorph listed for this composition (eV per atom) = 0.0833
- space-group type = Fm-3m

***

Entry from the Alexandria database: a geometry-optimized La2TbEr structure (PBE).

a = 3.6495 Å, b = 3.6495 Å, c = 11.9898 Å
α = 81.23°, β = 81.23°, γ = 59.99°
Sites, in units of the cell vectors:
La  0.0833  0.0833  0.7507
La  0.2503  0.2503  0.2498
Tb  0.4992  0.4992  0.5025
Er  0.6673  0.6673  0.9969

Values from the calculation:
- formation enthalpy at 0 K (eV per atom) = 0.0282
- energy relative to the lowest polymorph listed for this composition (eV per atom) = 0.0064
- space-group type = R3m

***

Entry from the Alexandria database: a geometry-optimized La2CoAgHg structure (PBE).

a = 5.2042 Å, b = 5.2042 Å, c = 5.0242 Å
α = 90.00°, β = 90.00°, γ = 90.00°
Sites, in units of the cell vectors:
Co  0.0000  0.0000  0.0000
Hg  0.0000  0.0000  0.5000
Ag  0.5000  0.5000  0.5000
La  0.0000  0.5000  0.0000
La  0.5000  0.0000  0.0000

Values from the calculation:
- formation enthalpy at 0 K (eV per atom) = -0.1991
- energy relative to the lowest polymorph listed for this composition (eV per atom) = 0.0000
- space-group type = P4/mmm

***

Entry from the Alexandria database: a geometry-optimized Cs2BiSeF6 structure (PBE).

a = 6.4559 Å, b = 6.4559 Å, c = 7.3300 Å
α = 63.87°, β = 63.87°, γ = 90.00°
Sites, in units of the cell vectors:
Cs  0.7500  0.2500  0.5000
Cs  0.2500  0.7500  0.5000
Bi  0.0000  0.0000  0.0000
Se  0.5000  0.5000  0.0000
F  0.1962  0.1962  0.6077
F  0.8038  0.8038  0.3923
F  0.2492  0.2492  0.0000
F  0.7508  0.7508  0.0000
F  0.7508  0.2492  0.0000
F  0.2492  0.7508  0.0000

Values from the calculation:
- E_form (uncorrected) (eV/atom) = -2.08
- space-group type = I4/mmm

***

Entry from the Alexandria database: a geometry-optimized Er2Zn2GaPd5 structure (PBE).

a = 3.6842 Å, b = 9.7086 Å, c = 9.7086 Å
α = 90.00°, β = 90.00°, γ = 90.00°
Sites, in units of the cell vectors:
Er  0.0000  0.6745  0.1745
Er  0.0000  0.3255  0.8255
Er  0.0000  0.1745  0.3255
Er  0.0000  0.8255  0.6745
Zn  0.0000  0.1238  0.6238
Zn  0.0000  0.8762  0.3762
Zn  0.0000  0.6238  0.8762
Zn  0.0000  0.3762  0.1238
Ga  0.0000  0.0000  0.0000
Ga  0.0000  0.5000  0.5000
Pd  0.5000  0.2008  0.0637
Pd  0.5000  0.7992  0.9363
Pd  0.5000  0.0637  0.7992
Pd  0.5000  0.7008  0.4363
Pd  0.5000  0.9363  0.2008
Pd  0.5000  0.2992  0.5637
Pd  0.5000  0.5637  0.7008
Pd  0.5000  0.4363  0.2992
Pd  0.5000  0.5000  0.0000
Pd  0.5000  0.0000  0.5000

Values from the calculation:
- formation enthalpy at 0 K (eV per atom) = -0.7116
- space-group type = P4/mbm

***

Number 1: magnetic moment 0.000 Bohr magnetons per cell. Number 2: magnetic moment 0.000 Bohr magnetons per cell. Number 3: magnetic moment 0.000 Bohr magnetons per cell. Number 4: magnetic moment 1.000 Bohr magnetons per cell. Number 5: magnetic moment 0.000 Bohr magnetons per cell.